{"formula": "BPdI2N", "functional": "meta-GGA SCAN", "state": "PBEsol geometry", "total_magnetization_mub_per_fu": 0.000, "e_form_raw_ev_per_fu": 7.1, "lattice_angstrom": [[3.697, 0.000, 0.000], [0.000, 5.530, 0.000], [0.000, 0.000, 5.530]], "species": ["I", "I", "Pd", "B", "N"], "fractional_positions": [[0.000, 0.000, 0.500], [0.000, 0.500, 0.000], [0.000, 0.000, 0.000], [0.500, 0.500, 0.500], [0.500, 0.000, 0.000]]}